(1)
Material: NbCd2Pt
Method: DFT, PBE
State: relaxed

Results
* space group: I-42d, No. 122
* energy relative to the lowest polymorph listed for this composition: 212 meV per atom

a b c (Å): 6.1349 6.1349 6.1349
angles (deg): 101.22 101.22 127.64
Closest atoms and distances in Å follow each position.
Fractional coordinates of all 8 atoms:
Nb 0.0000 0.0000 0.0000  2 Pt 2.71, 4 Cd 2.94
Nb 0.7500 0.2500 0.5000  2 Pt 2.71, 4 Cd 2.94
Cd 0.1452 0.1250 0.5202  2 Cd 2.72, 2 Pt 2.73, 2 Nb 2.94
Cd 0.3750 0.8548 0.9798  2 Cd 2.72, 2 Pt 2.73, 2 Nb 2.94
Cd 0.6048 0.6250 0.4798  2 Cd 2.72, 2 Pt 2.73, 2 Nb 2.94
Cd 0.8750 0.3952 0.0202  2 Cd 2.72, 2 Pt 2.73, 2 Nb 2.94
Pt 0.2500 0.7500 0.5000  2 Nb 2.71, 4 Cd 2.73
Pt 0.5000 0.5000 0.0000  2 Nb 2.71, 4 Cd 2.73

(2)
Material: LaEr3Th2
Method: DFT, PBE
State: relaxed

Results
* space group: Cmcm, No. 63
* energy relative to the lowest polymorph listed for this composition: 571 meV per atom

a b c (Å): 6.6682 6.6682 11.3211
angles (deg): 90.00 90.00 117.62
Closest atoms and distances in Å follow each position.
Fractional coordinates of all 12 atoms:
La 0.0385 0.9615 0.7500  6 Er 3.23-3.46, 4 Th 3.35
La 0.9615 0.0385 0.2500  6 Er 3.23-3.46, 4 Th 3.35
Er 0.0173 0.4675 0.7500  2 La 3.23-3.44, 4 Er 3.27-3.56
Er 0.4675 0.0173 0.2500  2 La 3.23-3.44, 4 Er 3.27-3.56
Er 0.4842 0.5158 0.2500  4 Er 3.27-3.40, 4 Th 3.31, 2 La 3.46
Er 0.5158 0.4842 0.7500  4 Er 3.27-3.40, 4 Th 3.31, 2 La 3.46
Er 0.5325 0.9827 0.7500  2 La 3.23-3.44, 4 Er 3.27-3.56
Er 0.9827 0.5325 0.2500  2 La 3.23-3.44, 4 Er 3.27-3.56
Th 0.2520 0.2520 0.0000  2 Er 3.31, 2 La 3.35, 2 Th 3.43-3.48
Th 0.2520 0.2520 0.5000  2 Er 3.31, 2 La 3.35, 2 Th 3.43-3.48
Th 0.7480 0.7480 0.0000  2 Er 3.31, 2 La 3.35, 2 Th 3.43-3.48
Th 0.7480 0.7480 0.5000  2 Er 3.31, 2 La 3.35, 2 Th 3.43-3.48

(3)
Material: Na3Hg6Bi
Method: DFT, PBE
State: relaxed

Results
* space group: Cmc2_1, No. 36
* E_tot: -1.13 eV per atom

a b c (Å): 8.1994 8.1994 8.8957
angles (deg): 90.00 90.00 103.29
Closest atoms and distances in Å follow each position.
Fractional coordinates of all 20 atoms:
Na 0.1111 0.8889 0.5000  8 Hg 3.18-3.46, 2 Bi 3.22-3.24
Na 0.1687 0.4552 0.6125  4 Hg 3.09-3.22, 1 Bi 3.19
Na 0.4552 0.1687 0.1125  4 Hg 3.09-3.22, 1 Bi 3.19
Na 0.5448 0.8313 0.6125  4 Hg 3.09-3.22, 1 Bi 3.19
Na 0.8313 0.5448 0.1125  4 Hg 3.09-3.22, 1 Bi 3.19
Na 0.8889 0.1111 0.0000  8 Hg 3.18-3.46, 2 Bi 3.22-3.24
Hg 0.1492 0.2503 0.3027  4 Hg 3.07-3.40, 3 Na 3.21-3.40, 1 Bi 3.35
Hg 0.2117 0.4554 0.0037  5 Hg 3.06-3.39, 1 Na 3.40
Hg 0.2295 0.7705 0.8145  4 Hg 3.06-3.07, 3 Na 3.09-3.18, 1 Bi 3.18
Hg 0.2503 0.1492 0.8027  4 Hg 3.07-3.40, 3 Na 3.21-3.40, 1 Bi 3.35
Hg 0.3342 0.6658 0.3271  3 Na 3.19-3.26, 1 Bi 3.23, 4 Hg 3.39-3.40
Hg 0.4554 0.2117 0.5037  5 Hg 3.06-3.39, 1 Na 3.40
Hg 0.5446 0.7883 0.0037  5 Hg 3.06-3.39, 1 Na 3.40
Hg 0.6658 0.3342 0.8271  3 Na 3.19-3.26, 1 Bi 3.23, 4 Hg 3.39-3.40
Hg 0.7497 0.8508 0.3027  4 Hg 3.07-3.40, 3 Na 3.21-3.40, 1 Bi 3.35
Hg 0.7705 0.2295 0.3145  4 Hg 3.06-3.07, 3 Na 3.09-3.18, 1 Bi 3.18
Hg 0.7883 0.5446 0.5037  5 Hg 3.06-3.39, 1 Na 3.40
Hg 0.8508 0.7497 0.8027  4 Hg 3.07-3.40, 3 Na 3.21-3.40, 1 Bi 3.35
Bi 0.1207 0.8793 0.1356  4 Hg 3.18-3.35, 4 Na 3.19-3.24
Bi 0.8793 0.1207 0.6356  4 Hg 3.18-3.35, 4 Na 3.19-3.24

(4)
Material: La2Er6Tm3
Method: DFT, PBE
State: relaxed

Results
* space group: C2/m, No. 12
* E_tot: -4.42 eV per atom

a b c (Å): 6.0577 6.0577 11.7431
angles (deg): 94.96 94.96 120.04
Closest atoms and distances in Å follow each position.
Fractional coordinates of all 11 atoms:
La 0.1669 0.8331 0.0000  3 La 3.49-3.50, 6 Er 3.60
La 0.8331 0.1669 0.0000  3 La 3.49-3.50, 6 Er 3.60
Er 0.0811 0.4145 0.7425  3 Tm 3.46, 6 Er 3.50, 2 La 3.60
Er 0.2522 0.2522 0.2573  3 Tm 3.45-3.46, 6 Er 3.50, 2 La 3.60
Er 0.4145 0.0811 0.7425  3 Tm 3.46, 6 Er 3.50, 2 La 3.60
Er 0.5855 0.9189 0.2575  3 Tm 3.46, 6 Er 3.50, 2 La 3.60
Er 0.7478 0.7478 0.7427  3 Tm 3.45-3.46, 6 Er 3.50, 2 La 3.60
Er 0.9189 0.5855 0.2575  3 Tm 3.46, 6 Er 3.50, 2 La 3.60
Tm 0.0000 0.0000 0.5000  6 Er 3.46, 6 Tm 3.49-3.51
Tm 0.3344 0.6656 0.5000  6 Er 3.45-3.46, 6 Tm 3.48-3.51
Tm 0.6656 0.3344 0.5000  6 Er 3.45-3.46, 6 Tm 3.48-3.51

(5)
Material: BeCd2Br
Method: DFT, PBE
State: relaxed

Results
* space group: P4/mmm, No. 123
* energy relative to the elements, uncorrected: 0.23 eV per atom
* energy relative to the lowest polymorph listed for this composition: 152 meV per atom

a b c (Å): 3.2589 3.2589 7.7633
angles (deg): 90.00 90.00 90.00
Closest atoms and distances in Å follow each position.
Fractional coordinates of all 4 atoms:
Be 0.0000 0.0000 0.0000  8 Cd 2.81
Cd 0.5000 0.5000 0.2077  4 Be 2.81
Cd 0.5000 0.5000 0.7923  4 Be 2.81
Br 0.0000 0.0000 0.5000  8 Cd 3.23, 4 Br 3.26

Number 1: D(E_F) 0.814 states/eV/atom, volume 20.51 Å³/atom. Number 2: D(E_F) 1.372 states/eV/atom, volume 37.17 Å³/atom. Number 3: D(E_F) 0.189 states/eV/atom, volume 29.10 Å³/atom. Number 4: D(E_F) 1.677 states/eV/atom, volume 33.40 Å³/atom. Number 5: D(E_F) 0.230 states/eV/atom, volume 20.61 Å³/atom.